BiSbAs: optimized geometry, PBE-GGA.

Structure (POSCAR):
```
BiSbAs
1.0
4.478 0.000 0.000
0.000 4.257 0.000
-0.167 0.000 9.252
Bi Sb As
2 2 2
direct
0.000 0.000 0.000 Bi
0.490 0.500 0.685 Bi
0.409 0.500 0.339 Sb
0.966 0.000 0.362 Sb
0.423 0.500 0.007 As
0.920 0.000 0.676 As
```

Properties
E above lowest polymorph = 42.3 meV per atom
theoretical density = 7.6 g cm⁻³
size of the total moment = 0.0 Bohr magnetons per cell